(1)
## SiRuCl2 (PBE-GGA)

Data for a relaxed SiRuCl2 crystal.

Structure (POSCAR):
```
SiRuCl2
1.0
2.2982 -6.5661 0.0000
2.2982 6.5661 0.0000
0.0000 0.0000 3.5645
Si Ru Cl
1 1 2
direct
0.0000 0.0000 0.0000
0.5000 0.5000 0.0000
0.3740 0.6260 0.5000
0.6260 0.3740 0.5000
```

Output
Relative energy among the computed polymorphs   251 meV per atom
Magnetization   0.000 μB/f.u.
Fermi-level density of states   1.20 states/eV/f.u.
E_form (uncorrected)   -5 kJ per mole of atoms



(2)
## TaIn2Fe (PBE-GGA)

Data for a relaxed TaIn2Fe crystal.

Structure (POSCAR):
```
TaIn2Fe
1.0
-3.7318 3.7318 2.7502
3.7318 -3.7318 2.7502
3.7318 3.7318 -2.7502
Ta In Fe
2 4 2
direct
0.0000 0.0000 0.0000
0.7500 0.2500 0.5000
0.1613 0.6250 0.0363
0.3750 0.4113 0.5363
0.5887 0.1250 0.9637
0.8750 0.8387 0.4637
0.2500 0.7500 0.5000
0.5000 0.5000 0.0000
```

Output
Relative energy among the computed polymorphs   658 meV per atom
ΔH_f (0 K)   17.54 kcal/mol of atoms
Magnetization   0.000 μB/f.u.
Fermi-level density of states   5.42 states/eV/f.u.



(3)
## SrOs3Au (PBE-GGA)

Data for a relaxed SrOs3Au crystal.

Structure (POSCAR):
```
SrOs3Au
1.0
4.8552 0.0000 0.0000
0.0000 4.8552 0.0000
0.0000 0.0000 4.8552
Sr Os Au
1 3 1
direct
0.0000 0.0000 0.0000
0.0000 0.0000 0.5000
0.0000 0.5000 0.0000
0.5000 0.0000 0.0000
0.5000 0.5000 0.5000
```

Output
Relative energy among the computed polymorphs   1417 meV per atom
ΔH_f (0 K)   83.74 kcal/mol of atoms
Magnetization   4.743 μB/f.u.
Fermi-level density of states   5.03 states/eV/f.u.



(4)
## KNaCd (PBE-GGA)

Data for a relaxed KNaCd crystal.

Structure (POSCAR):
```
KNaCd
1.0
0.0000 4.0503 4.0503
4.0503 0.0000 4.0503
4.0503 4.0503 0.0000
K Na Cd
1 1 1
direct
0.0000 0.0000 0.0000
0.5000 0.5000 0.5000
0.7500 0.7500 0.7500
```

Output
Relative energy among the computed polymorphs   97 meV per atom
ΔH_f (0 K)   1.17 kcal/mol of atoms
Magnetization   0.000 μB/f.u.
Fermi-level density of states   1.63 states/eV/f.u.



(5)
## Y2Sc6Tl (PBE-GGA)

Data for a relaxed Y2Sc6Tl crystal.

Structure (POSCAR):
```
Y2Sc6Tl
1.0
-1.6591 4.8589 7.3699
1.6591 -4.8589 7.3699
1.6591 4.8589 -7.3699
Y Sc Tl
2 6 1
direct
0.1433 0.1433 0.0000
0.8567 0.8567 0.0000
0.1569 0.8198 0.3370
0.2198 0.5000 0.7198
0.4828 0.8198 0.6630
0.5172 0.1802 0.3370
0.7802 0.5000 0.2802
0.8431 0.1802 0.6630
0.5000 0.0000 0.5000
```

Output
ΔH_f (0 K)   0.63 kcal/mol of atoms
Magnetization   0.000 μB/f.u.
Fermi-level density of states   14.15 states/eV/f.u.



(6)
## YMoPb2 (PBE-GGA)

Data for a relaxed YMoPb2 crystal.

Structure (POSCAR):
```
YMoPb2
1.0
1.9546 -2.5773 0.0000
1.9546 2.5773 0.0000
0.0000 0.0000 10.4877
Y Mo Pb
1 1 2
direct
0.0000 0.0000 0.0000
0.5000 0.5000 0.2062
0.0000 0.0000 0.4124
0.5000 0.5000 0.7295
```

Output
Relative energy among the computed polymorphs   150 meV per atom
ΔH_f (0 K)   8.05 kcal/mol of atoms
Magnetization   0.000 μB/f.u.
Fermi-level density of states   3.65 states/eV/f.u.



(7)
## GdDyHoHg (PBE-GGA)

Data for a relaxed GdDyHoHg crystal.

Structure (POSCAR):
```
GdDyHoHg
1.0
0.0000 3.8256 3.8256
3.8256 0.0000 3.8256
3.8256 3.8256 0.0000
Gd Dy Ho Hg
1 1 1 1
direct
0.0000 0.0000 0.0000
0.5000 0.5000 0.5000
0.2500 0.2500 0.2500
0.7500 0.7500 0.7500
```

Output
ΔH_f (0 K)   -1.47 kcal/mol of atoms
Magnetization   7.860 μB/f.u.
Fermi-level density of states   5.10 states/eV/f.u.



(8)
## PmMgP (PBE-GGA)

Data for a relaxed PmMgP crystal.

Structure (POSCAR):
```
PmMgP
1.0
2.4502 1.4146 8.3834
-2.4502 1.4146 8.3834
0.0000 -2.8293 8.3834
Pm Mg P
2 2 2
direct
0.1062 0.1062 0.1062
0.8938 0.8938 0.8938
0.3178 0.3178 0.3178
0.6822 0.6822 0.6822
0.2174 0.2174 0.2174
0.7826 0.7826 0.7826
```

Output
Relative energy among the computed polymorphs   107 meV per atom
ΔH_f (0 K)   -15.69 kcal/mol of atoms
Magnetization   0.000 μB/f.u.
Fermi-level density of states   1.33 states/eV/f.u.